DFT (PBE) results for Tb2CdB3Pt12 after structural relaxation.

Structure (CIF):
```
data_Tb2CdB3Pt12
_chemical_formula_sum 'Tb2 Cd1 B3 Pt12'
_symmetry_space_group_name_H-M 'P 1'
_symmetry_Int_Tables_number 1
_symmetry_space_group_name_Hall 'P 1'
_cell_length_a 7.3123
_cell_length_b 7.3123
_cell_length_c 7.3123
_cell_angle_alpha 66.58
_cell_angle_beta 66.58
_cell_angle_gamma 66.58
loop_
_atom_site_label
_atom_site_fract_x
_atom_site_fract_y
_atom_site_fract_z
B1 0.0000 0.0000 0.5000
B2 0.0000 0.5000 0.0000
B3 0.5000 0.0000 0.0000
Pt1 0.0923 0.6768 0.6768
Pt2 0.6768 0.6768 0.0923
Pt3 0.4006 0.8624 0.8624
Pt4 0.8624 0.8624 0.4006
Pt5 0.5994 0.1376 0.1376
Pt6 0.3232 0.9077 0.3232
Pt7 0.8624 0.4006 0.8624
Pt8 0.1376 0.1376 0.5994
Pt9 0.3232 0.3232 0.9077
Pt10 0.1376 0.5994 0.1376
Pt11 0.6768 0.0923 0.6768
Pt12 0.9077 0.3232 0.3232
Tb1 0.5996 0.5996 0.5996
Tb2 0.4004 0.4004 0.4004
Cd1 0.0000 0.0000 0.0000
```

Output
- energy relative to the elements (eV/atom) = -0.3617
- calculated density (kg/m³) = 14750
- space-group type = R-3m (166)